# YTe2CN | Alexandria via LeMat-Bulk | GGA-PBE | optimized geometry
# Relative energy among the computed polymorphs ... 1014.6 meV per atom
# Total magnetic moment ... 0.00 μB/f.u.
# ΔE_f (raw) ... 8.6 eV/f.u.
# Volume ... 144.2 Å³/cell
data_YTe2CN
_chemical_formula_sum 'Y1 Te2 C1 N1'
_space_group_name_H-M_alt 'P 4/m m m'
_space_group_IT_number 123
_space_group_name_Hall '-P 4 2'
_cell_length_a 5.962
_cell_length_b 5.962
_cell_length_c 4.057
_cell_angle_alpha 90.00
_cell_angle_beta 90.00
_cell_angle_gamma 90.00
loop_
_atom_site_label
_atom_site_fract_x
_atom_site_fract_y
_atom_site_fract_z
Y1 0.000 0.000 0.000
Te1 0.000 0.500 0.000
C1 0.500 0.500 0.500
N1 0.000 0.000 0.500